Entry 1:
The following is a DFT calculation (PBE-GGA) of Pm2YOsO8 after structural relaxation.

Its density of states at the Fermi level is 0.153 states/eV/atom. The calculation puts the formation energy (no corrections) at -2.46 eV per atom.

The structure belongs to space group Cmmm (No. 65); the cell edges are 7.235, 7.306 and 6.908 Å and the angles 90.00°, 90.00° and 90.00°. The inequivalent atoms are Pm at (0.000, 0.000, 0.249), Y at (0.000, 0.500, 0.000), Os at (0.000, 0.500, 0.500), O at (0.000, 0.322, 0.292), O at (0.196, 0.000, 0.000) and O at (0.243, 0.000, 0.500).


Entry 2:
The following is a DFT calculation (PBE-GGA) of KPuAsO6 after structural relaxation.

Its density of states at the Fermi level is 0.386 states/eV/atom. The calculation puts the formation energy (no corrections) at -1.82 eV per atom.

The structure belongs to space group P312 (No. 149); the cell edges are 5.3291, 5.3291 and 6.0008 Å and the angles 90.00°, 90.00° and 120.00°. The inequivalent atoms are K at (0.0000, 0.0000, 0.0000), Pu at (0.3333, 0.6667, 0.5000), As at (0.6667, 0.3333, 0.5000) and O at (0.3898, 0.0282, 0.6780).


Entry 3:
The following is a DFT calculation (PBE-GGA) of CsCd2InBi2 after structural relaxation.

Its density of states at the Fermi level is 0.229 states/eV/atom. The formation energy is -165 meV per atom.

The structure belongs to space group P-3m1 (No. 164); the cell edges are 5.2228, 5.2228 and 9.1746 Å and the angles 90.00°, 90.00° and 120.00°. The inequivalent atoms are Cs at (0.0000, 0.0000, 0.0000), Cd at (0.3333, 0.6667, 0.6380), In at (0.0000, 0.0000, 0.5000) and Bi at (0.3333, 0.6667, 0.2874).


Total energy for the records above, in order: -8.0279; -7.3612; -2.3628 eV per atom